(1)
Computed, not measured: a relaxed structure of Th2Ge3Ir at the GGA-PBE level of DFT.

Output
**Final energy**: -7.048 eV per atom
**Density of states at the Fermi level**: 16.486 states/eV per cell
**Crystal system**: orthorhombic
**E_form**: -789.7 meV/atom

Cell lengths 8.4241, 8.5145, 14.7481 Å; angles 90.00, 90.00, 90.00 degrees
Last column: nearest neighbours and their distance in Å.
Space group Fmmm (No. 69)
Unique sites:
Th 0.2477 0.0000 0.0000 (multiplicity 8)  10 Ge 3.22-3.27, 2 Ir 3.23
Th 0.2500 0.2500 0.2500 (multiplicity 8)  8 Ge 3.23, 4 Ir 3.23
Ge 0.0000 0.0000 0.3319 (multiplicity 8)  1 Ir 2.43, 2 Ge 2.47
Ge 0.0000 0.2486 0.0841 (multiplicity 16)  1 Ir 2.44, 2 Ge 2.47-2.48
Ir 0.0000 0.0000 0.1671 (multiplicity 8)  3 Ge 2.43-2.44

(2)
Computed, not measured: a relaxed structure of Th2GeIr3 at the GGA-PBE level of DFT.

Output
**Final energy**: -8.443 eV per atom
**Density of states at the Fermi level**: 4.343 states/eV per cell
**Crystal system**: orthorhombic
**E_form**: -770.0 meV/atom

Cell lengths 3.9549, 4.0688, 8.1090 Å; angles 90.00, 90.00, 90.00 degrees
Last column: nearest neighbours and their distance in Å.
Space group Pmm2 (No. 25)
Unique sites:
Th 0.0000 0.0000 0.0000 (multiplicity 1)  6 Ir 3.01-3.29, 4 Ge 3.21
Th 0.0000 0.5000 0.4782 (multiplicity 1)  8 Ir 3.10-3.14, 2 Ge 3.37
Ge 0.5000 0.5000 0.8145 (multiplicity 1)  3 Ir 2.46-2.50
Ir 0.5000 0.0000 0.3240 (multiplicity 1)  3 Ir 2.59-2.61
Ir 0.5000 0.0000 0.6430 (multiplicity 1)  2 Ge 2.46, 1 Ir 2.59
Ir 0.5000 0.5000 0.1230 (multiplicity 1)  1 Ge 2.50, 2 Ir 2.61

(3)
Computed, not measured: a relaxed structure of Th2Ge4Ir5 at the GGA-PBE level of DFT.

Output
**Final energy**: -7.677 eV per atom
**Density of states at the Fermi level**: 21.924 states/eV per cell
**Crystal system**: orthorhombic
**E_form**: -621.3 meV/atom

Cell lengths 5.6644, 9.7495, 14.9946 Å; angles 90.00, 90.00, 90.00 degrees
Last column: nearest neighbours and their distance in Å.
Space group Fmmm (No. 69)
Unique sites:
Th 0.0000 0.0000 0.1304 (multiplicity 8)  6 Ge 3.21-3.35, 10 Ir 3.34-3.44
Ge 0.0000 0.1560 0.3696 (multiplicity 16)  5 Ir 2.46-2.58
Ir 0.0000 0.0000 0.5000 (multiplicity 4)  4 Ge 2.48
Ir 0.2500 0.2500 0.0000 (multiplicity 8)  4 Ge 2.58, 4 Ir 2.82-2.83
Ir 0.2500 0.2500 0.2500 (multiplicity 8)  4 Ge 2.46

(4)
Computed, not measured: a relaxed structure of ThGeIr2 at the GGA-PBE level of DFT.

Output
**Final energy**: -8.112 eV per atom
**Density of states at the Fermi level**: 6.961 states/eV per cell
**Crystal system**: trigonal
**E_form**: -672.6 meV/atom

Cell lengths 4.2535, 4.2535, 15.2049 Å; angles 90.00, 90.00, 120.00 degrees
Last column: nearest neighbours and their distance in Å.
Space group R-3m (No. 166, hexagonal axes)
Unique sites:
Th 0.0000 0.0000 0.0000 (multiplicity 3)  8 Ir 3.06-3.25
Ge 0.0000 0.0000 0.5000 (multiplicity 3)  6 Ir 2.56
Ir 0.0000 0.0000 0.2136 (multiplicity 6)  3 Ge 2.56, 3 Ir 2.84

(5)
Computed, not measured: a relaxed structure of ThGe3Ir5 at the GGA-PBE level of DFT.

Output
**Final energy**: -7.664 eV per atom
**Density of states at the Fermi level**: 21.713 states/eV per cell
**Crystal system**: orthorhombic
**E_form**: -377.4 meV/atom

Cell lengths 4.0749, 12.8064, 12.4238 Å; angles 90.00, 90.00, 90.00 degrees
Last column: nearest neighbours and their distance in Å.
Space group Cmcm (No. 63)
Unique sites:
Th 0.0000 0.2070 0.2500 (multiplicity 4)  6 Ir 3.17-3.25, 6 Ge 3.32-3.38
Ge 0.0000 0.0887 0.7500 (multiplicity 4)  6 Ir 2.49-2.59
Ge 0.0000 0.3866 0.5553 (multiplicity 8)  5 Ir 2.37-2.59
Ir 0.0000 0.0000 0.0000 (multiplicity 4)  4 Ge 2.59, 6 Ir 2.78-2.79
Ir 0.0000 0.2032 0.5783 (multiplicity 8)  2 Ge 2.37-2.59
Ir 0.0000 0.4368 0.1383 (multiplicity 8)  4 Ge 2.49, 1 Ir 2.78

(6)
Computed, not measured: a relaxed structure of Th2Ge4Ir3 at the GGA-PBE level of DFT.

Output
**Final energy**: -7.305 eV per atom
**Density of states at the Fermi level**: 14.408 states/eV per cell
**Crystal system**: orthorhombic
**E_form**: -649.9 meV/atom

Cell lengths 5.6150, 9.8695, 12.5160 Å; angles 90.00, 90.00, 90.00 degrees
Last column: nearest neighbours and their distance in Å.
Space group Fmmm (No. 69)
Unique sites:
Th 0.0000 0.0000 0.1322 (multiplicity 8)  8 Ge 3.07-3.32, 6 Ir 3.26-3.29, 1 Th 3.31
Ge 0.0000 0.1656 0.3399 (multiplicity 16)  3 Ir 2.58-2.59, 1 Ge 2.80
Ir 0.0000 0.0000 0.5000 (multiplicity 4)  4 Ge 2.59, 4 Ir 2.84
Ir 0.2500 0.2500 0.0000 (multiplicity 8)  4 Ge 2.58, 4 Ir 2.81-2.84

(7)
Computed, not measured: a relaxed structure of Th4GeIr2 at the GGA-PBE level of DFT.

Output
**Final energy**: -8.198 eV per atom
**Density of states at the Fermi level**: 16.804 states/eV per cell
**Crystal system**: orthorhombic
**E_form**: -766.8 meV/atom

Cell lengths 4.1429, 13.6053, 13.9522 Å; angles 90.00, 90.00, 90.00 degrees
Last column: nearest neighbours and their distance in Å.
Space group Cmcm (No. 63)
Unique sites:
Th 0.0000 0.0000 0.0000 (multiplicity 4)  4 Ir 2.86
Th 0.0000 0.2656 0.1202 (multiplicity 8)  3 Ir 2.88-2.89, 2 Ge 3.19
Th 0.0000 0.4528 0.7500 (multiplicity 4)  2 Ir 2.89, 2 Ge 3.04
Ge 0.0000 0.1160 0.7500 (multiplicity 4)  6 Th 3.04-3.19
Ir 0.0000 0.3688 0.5598 (multiplicity 8)  6 Th 2.86-2.89

(8)
Computed, not measured: a relaxed structure of Th2GeIr at the GGA-PBE level of DFT.

Output
**Final energy**: -7.869 eV per atom
**Density of states at the Fermi level**: 10.987 states/eV per cell
**Crystal system**: orthorhombic
**E_form**: -790.0 meV/atom

Cell lengths 4.2105, 23.4432, 4.1930 Å; angles 90.00, 90.00, 90.00 degrees
Last column: nearest neighbours and their distance in Å.
Space group Cmcm (No. 63)
Unique sites:
Th 0.0000 0.0686 0.2500 (multiplicity 4)  1 Ir 2.78, 4 Ge 3.04
Th 0.0000 0.3109 0.2500 (multiplicity 4)  5 Ir 2.90-2.97
Ge 0.0000 0.4581 0.2500 (multiplicity 4)  2 Ge 2.87, 4 Th 3.04
Ir 0.0000 0.1871 0.2500 (multiplicity 4)  6 Th 2.78-2.97

(9)
Computed, not measured: a relaxed structure of Th2GeIr at the GGA-PBE level of DFT.

Output
**Final energy**: -7.934 eV per atom
**Density of states at the Fermi level**: 8.038 states/eV per cell
**Crystal system**: monoclinic
**E_form**: -854.4 meV/atom

Cell lengths 5.9918, 4.1901, 8.4555 Å; angles 90.00, 109.55, 90.00 degrees
Last column: nearest neighbours and their distance in Å.
Space group P2_1/m (No. 11)
Unique sites:
Th 0.1866 0.2500 0.4089 (multiplicity 2)  2 Ir 2.95, 4 Ge 3.12-3.15
Th 0.2759 0.7500 0.0577 (multiplicity 2)  3 Ir 2.94-3.00, 3 Ge 3.20-3.23
Ge 0.3661 0.7500 0.7017 (multiplicity 2)  2 Ir 2.84, 4 Th 3.12-3.15
Ir 0.1194 0.2500 0.7997 (multiplicity 2)  2 Ge 2.84, 5 Th 2.94-3.00

(10)
Computed, not measured: a relaxed structure of ThGe2Ir4 at the GGA-PBE level of DFT.

Output
**Final energy**: -7.870 eV per atom
**Density of states at the Fermi level**: 14.837 states/eV per cell
**Crystal system**: orthorhombic
**E_form**: -427.2 meV/atom

Cell lengths 17.2813, 4.2291, 6.6894 Å; angles 90.00, 90.00, 90.00 degrees
Last column: nearest neighbours and their distance in Å.
Space group Pnma (No. 62)
Unique sites:
Th 0.1397 0.2500 0.0229 (multiplicity 4)  8 Ir 2.98-3.14, 3 Ge 3.19-3.23
Ge 0.0369 0.7500 0.2631 (multiplicity 4)  7 Ir 2.46-2.64
Ge 0.2079 0.2500 0.5740 (multiplicity 4)  7 Ir 2.47-2.72
Ir 0.0314 0.7500 0.8680 (multiplicity 4)  3 Ge 2.58-2.64
Ir 0.0676 0.2500 0.4862 (multiplicity 4)  4 Ge 2.46-2.64
Ir 0.1783 0.7500 0.3544 (multiplicity 4)  4 Ge 2.52-2.72
Ir 0.2114 0.7500 0.7690 (multiplicity 4)  3 Ge 2.47-2.49

(11)
Computed, not measured: a relaxed structure of ThGe12Ir4 at the GGA-PBE level of DFT.

Output
**Final energy**: -6.027 eV per atom
**Density of states at the Fermi level**: 16.178 states/eV per cell
**Crystal system**: cubic
**E_form**: -245.9 meV/atom

Cell lengths 8.6719, 8.6719, 8.6719 Å; angles 90.00, 90.00, 90.00 degrees
Last column: nearest neighbours and their distance in Å.
Space group Im-3 (No. 204)
Unique sites:
Th 0.0000 0.0000 0.0000 (multiplicity 2)  12 Ge 3.31
Ge 0.0000 0.3499 0.1530 (multiplicity 24)  2 Ir 2.48, 2 Ge 2.60-2.65
Ir 0.2500 0.2500 0.2500 (multiplicity 8)  6 Ge 2.48

(12)
Computed, not measured: a relaxed structure of ThGe4Ir6 at the GGA-PBE level of DFT.

Output
**Final energy**: -7.405 eV per atom
**Density of states at the Fermi level**: 19.629 states/eV per cell
**Crystal system**: tetragonal
**E_form**: -217.8 meV/atom

Cell lengths 6.6208, 6.6208, 9.1663 Å; angles 90.00, 90.00, 90.00 degrees
Last column: nearest neighbours and their distance in Å.
Space group I-42m (No. 121)
Unique sites:
Th 0.0000 0.0000 0.0000 (multiplicity 2)  8 Ge 3.27-3.47, 8 Ir 3.27-3.31
Ge 0.1990 0.1990 0.3196 (multiplicity 8)  4 Ir 2.37-2.60
Ir 0.0000 0.5000 0.0000 (multiplicity 4)  4 Ir 2.64, 4 Ge 2.91
Ir 0.1649 0.1649 0.6013 (multiplicity 8)  4 Ge 2.37-2.60, 2 Ir 2.64

(13)
Computed, not measured: a relaxed structure of Th2Ge3Ir2 at the GGA-PBE level of DFT.

Output
**Final energy**: -7.307 eV per atom
**Density of states at the Fermi level**: 8.548 states/eV per cell
**Crystal system**: monoclinic
**E_form**: -676.7 meV/atom

Cell lengths 10.3560, 4.2692, 6.9657 Å; angles 90.00, 111.65, 90.00 degrees
Last column: nearest neighbours and their distance in Å.
Space group C2/m (No. 12)
Unique sites:
Th 0.1417 0.0000 0.2824 (multiplicity 4)  4 Ir 3.02-3.08, 7 Ge 3.18-3.35
Ge 0.0000 0.5000 0.5000 (multiplicity 2)  4 Ir 2.80, 2 Ge 2.81
Ge 0.1212 0.5000 0.9330 (multiplicity 4)  3 Ir 2.61-2.65, 1 Ge 2.81
Ir 0.1551 0.0000 0.7316 (multiplicity 4)  5 Ge 2.61-2.80

(14)
Computed, not measured: a relaxed structure of Th5Ge5Ir2 at the GGA-PBE level of DFT.

Output
**Final energy**: -7.284 eV per atom
**Density of states at the Fermi level**: 15.595 states/eV per cell
**Crystal system**: monoclinic
**E_form**: -791.3 meV/atom

Cell lengths 15.5453, 4.2327, 11.6176 Å; angles 90.00, 131.27, 90.00 degrees
Last column: nearest neighbours and their distance in Å.
Space group C2/m (No. 12)
Unique sites:
Th 0.0000 0.0000 0.0000 (multiplicity 2)  4 Ir 3.11, 6 Ge 3.15-3.25
Th 0.1231 0.5000 0.8180 (multiplicity 4)  5 Ge 3.00-3.15, 1 Ir 3.21
Th 0.1976 0.5000 0.5847 (multiplicity 4)  3 Ir 3.03-3.09, 7 Ge 3.16-3.30
Ge 0.0000 0.0000 0.5000 (multiplicity 2)  2 Ge 2.81
Ge 0.0575 0.0000 0.3160 (multiplicity 4)  2 Ir 2.56, 1 Ge 2.81
Ge 0.2066 0.5000 0.1369 (multiplicity 4)  1 Ir 2.57
Ir 0.1170 0.5000 0.2599 (multiplicity 4)  3 Ge 2.56-2.57

(15)
Computed, not measured: a relaxed structure of ThGe3Ir2 at the GGA-PBE level of DFT.

Output
**Final energy**: -6.890 eV per atom
**Density of states at the Fermi level**: 11.957 states/eV per cell
**Crystal system**: orthorhombic
**E_form**: -390.7 meV/atom

Cell lengths 9.7552, 8.0551, 5.7375 Å; angles 90.00, 90.00, 90.00 degrees
Last column: nearest neighbours and their distance in Å.
Space group Cmcm (No. 63)
Unique sites:
Th 0.0000 0.1671 0.2500 (multiplicity 4)  1 Ge 2.91, 4 Ir 3.18
Ge 0.0000 0.4714 0.7500 (multiplicity 4)  2 Ge 2.55, 4 Ir 2.79
Ge 0.1703 0.2310 0.7500 (multiplicity 8)  4 Ir 2.49-2.70, 1 Ge 2.55
Ir 0.2444 0.5000 0.0000 (multiplicity 8)  4 Ge 2.49-2.70

(16)
Computed, not measured: a relaxed structure of ThGeIr3 at the GGA-PBE level of DFT.

Output
**Final energy**: -7.811 eV per atom
**Density of states at the Fermi level**: 6.041 states/eV per cell
**Crystal system**: orthorhombic
**E_form**: -87.3 meV/atom

Cell lengths 5.8467, 7.4757, 4.5965 Å; angles 90.00, 90.00, 90.00 degrees
Last column: nearest neighbours and their distance in Å.
Space group Cmmm (No. 65)
Unique sites:
Th 0.0000 0.0000 0.0000 (multiplicity 2)  2 Ir 2.92
Ge 0.0000 0.5000 0.5000 (multiplicity 2)  6 Ir 2.30-2.37
Ir 0.0000 0.5000 0.0000 (multiplicity 2)  2 Ge 2.30
Ir 0.2500 0.2500 0.5000 (multiplicity 4)  2 Ge 2.37

(17)
Computed, not measured: a relaxed structure of ThGeIr2 at the GGA-PBE level of DFT.

Output
**Final energy**: -7.981 eV per atom
**Density of states at the Fermi level**: 2.036 states/eV per cell
**Crystal system**: orthorhombic
**E_form**: -541.6 meV/atom

Cell lengths 3.8577, 3.9623, 5.7264 Å; angles 90.00, 90.00, 90.00 degrees
Last column: nearest neighbours and their distance in Å.
Space group Pmmm (No. 47)
Unique sites:
Th 0.0000 0.0000 0.0000 (multiplicity 1)  8 Ir 3.08
Ge 0.0000 0.5000 0.5000 (multiplicity 1)  4 Ir 2.45
Ir 0.5000 0.5000 0.2373 (multiplicity 2)  2 Ge 2.45, 1 Ir 2.72

(18)
Computed, not measured: a relaxed structure of ThGe3Ir2 at the GGA-PBE level of DFT.

Output
**Final energy**: -7.054 eV per atom
**Density of states at the Fermi level**: 9.256 states/eV per cell
**Crystal system**: monoclinic
**E_form**: -555.2 meV/atom

Cell lengths 16.1323, 4.1532, 7.7622 Å; angles 90.00, 118.67, 90.00 degrees
Last column: nearest neighbours and their distance in Å.
Space group C2/m (No. 12)
Unique sites:
Th 0.1370 0.0000 0.1669 (multiplicity 4)  6 Ir 3.09-3.23, 8 Ge 3.17-3.42
Ge 0.0281 0.0000 0.6757 (multiplicity 4)  1 Ge 2.43, 3 Ir 2.51-2.63
Ge 0.1491 0.5000 0.4872 (multiplicity 4)  3 Ir 2.50-2.59
Ge 0.1759 0.5000 0.8937 (multiplicity 4)  4 Ir 2.57-2.72
Ir 0.0037 0.5000 0.8272 (multiplicity 4)  4 Ge 2.50-2.57, 1 Ir 2.74
Ir 0.1993 0.0000 0.7150 (multiplicity 4)  6 Ge 2.59-2.72

(19)
Computed, not measured: a relaxed structure of Th2Ge3Ir2 at the GGA-PBE level of DFT.

Output
**Final energy**: -7.373 eV per atom
**Density of states at the Fermi level**: 14.456 states/eV per cell
**Crystal system**: orthorhombic
**E_form**: -742.6 meV/atom

Cell lengths 4.2721, 18.6543, 7.1427 Å; angles 90.00, 90.00, 90.00 degrees
Last column: nearest neighbours and their distance in Å.
Space group Cmcm (No. 63)
Unique sites:
Th 0.0000 0.0548 0.2500 (multiplicity 4)  9 Ge 3.08-3.35
Th 0.0000 0.1590 0.7500 (multiplicity 4)  6 Ir 3.08-3.10, 6 Ge 3.09-3.11
Ge 0.0000 0.2201 0.2500 (multiplicity 4)  6 Ir 2.63-2.66
Ge 0.0000 0.4364 0.0621 (multiplicity 8)  2 Ge 2.53-2.68, 1 Ir 2.56
Ir 0.0000 0.3059 0.5466 (multiplicity 8)  4 Ge 2.56-2.66

(20)
Computed, not measured: a relaxed structure of Th3Ge2Ir at the GGA-PBE level of DFT.

Output
**Final energy**: -7.527 eV per atom
**Density of states at the Fermi level**: 21.701 states/eV per cell
**Crystal system**: orthorhombic
**E_form**: -801.1 meV/atom

Cell lengths 11.9798, 4.3148, 11.7636 Å; angles 90.00, 90.00, 90.00 degrees
Last column: nearest neighbours and their distance in Å.
Space group Pnma (No. 62)
Unique sites:
Th 0.0532 0.2500 0.1279 (multiplicity 4)  1 Ir 3.04, 5 Ge 3.07-3.27
Th 0.1212 0.7500 0.5582 (multiplicity 4)  3 Ir 3.05-3.10, 5 Ge 3.12-3.21
Th 0.2197 0.2500 0.8009 (multiplicity 4)  2 Ir 2.95, 4 Ge 3.08-3.24
Ge 0.0136 0.7500 0.3086 (multiplicity 4)  2 Ir 2.68
Ge 0.1876 0.7500 0.0032 (multiplicity 4)  1 Ir 2.67
Ir 0.1287 0.2500 0.3748 (multiplicity 4)  3 Ge 2.67-2.68, 2 Th 2.95